DFT (PBE-GGA) results for a relaxed structure of Np3P4Pd4.

volume	381.1	Å³/cell
mass density	10.99	g cm⁻³
DOS(E_F)	1.97	states/eV per atom

a b c (Å): 3.8615 7.6284 12.9361
angles (deg): 90.00 90.00 90.00
Space group Immm (No. 71)
Symmetry-distinct sites (fractional):
Np (0.0000, 0.0000, 0.0000) x2
Np (0.0000, 0.5000, 0.1026) x4
P (0.0000, 0.0000, 0.2322) x4
P (0.0000, 0.2259, 0.5000) x4
Pd (0.0000, 0.3150, 0.3209) x8


DFT (PBE-GGA) results for a relaxed structure of NpPPd.

volume	115.5	Å³/cell
mass density	10.76	g cm⁻³
DOS(E_F)	2.72	states/eV per atom

a b c (Å): 3.7274 3.7274 8.3142
angles (deg): 90.00 90.00 90.00
Space group I4mm (No. 107)
Symmetry-distinct sites (fractional):
Np (0.0000, 0.0000, 0.0000) x2
P (0.0000, 0.0000, 0.6500) x2
Pd (0.0000, 0.0000, 0.3365) x2


DFT (PBE-GGA) results for a relaxed structure of NpPPd.

volume	195.9	Å³/cell
mass density	12.69	g cm⁻³
DOS(E_F)	0.91	states/eV per atom

a b c (Å): 3.8029 12.7052 4.0554
angles (deg): 90.00 90.00 90.00
Space group Cmcm (No. 63)
Symmetry-distinct sites (fractional):
Np (0.0000, 0.0515, 0.2500) x4
P (0.0000, 0.3816, 0.2500) x4
Pd (0.0000, 0.2617, 0.7500) x4


DFT (PBE-GGA) results for a relaxed structure of PmNpP2Pd2.

volume	117.6	Å³/cell
mass density	9.27	g cm⁻³
DOS(E_F)	1.42	states/eV per atom

a b c (Å): 4.2021 4.2021 7.6928
angles (deg): 90.00 90.00 120.00
Space group P-3m1 (No. 164)
Symmetry-distinct sites (fractional):
Pm (0.0000, 0.0000, 0.0000) x1
Np (0.0000, 0.0000, 0.5000) x1
P (0.3333, 0.6667, 0.7375) x2
Pd (0.3333, 0.6667, 0.2506) x2


DFT (PBE-GGA) results for a relaxed structure of NpP2Pd2Pt.

volume	201.0	Å³/cell
mass density	11.68	g cm⁻³
DOS(E_F)	1.43	states/eV per atom

a b c (Å): 4.0711 7.9360 6.2223
angles (deg): 90.00 90.00 90.00
Space group Pmc2_1 (No. 26)
Symmetry-distinct sites (fractional):
Np (0.0000, 0.0440, 0.0000) x2
P (0.0000, 0.3427, 0.7811) x2
P (0.5000, 0.1561, 0.2838) x2
Pd (0.0000, 0.3757, 0.3751) x2
Pd (0.5000, 0.3911, 0.0468) x2
Pt (0.5000, 0.2358, 0.6485) x2


DFT (PBE-GGA) results for a relaxed structure of NpPPdS.

raw formation energy	-0.77	eV per atom
volume	140.6	Å³/cell
mass density	9.60	g cm⁻³
DOS(E_F)	2.66	states/eV per atom

a b c (Å): 3.9640 3.9640 8.9469
angles (deg): 90.00 90.00 90.00
Space group P4/nmm (No. 129, origin choice 2)
Symmetry-distinct sites (fractional):
Np (0.2500, 0.2500, 0.2123) x2
P (0.2500, 0.2500, 0.6790) x2
Pd (0.2500, 0.7500, 0.5000) x2
S (0.2500, 0.7500, 0.0000) x2


DFT (PBE-GGA) results for a relaxed structure of Sr2NpP3Pd4.

volume	201.0	Å³/cell
mass density	7.69	g cm⁻³
DOS(E_F)	1.03	states/eV per atom

a b c (Å): 4.1944 4.1944 11.4237
angles (deg): 90.00 90.00 90.00
Space group P-4m2 (No. 115)
Symmetry-distinct sites (fractional):
Sr (0.0000, 0.5000, 0.2215) x2
Np (0.0000, 0.0000, 0.5000) x1
P (0.0000, 0.5000, 0.8799) x2
P (0.5000, 0.5000, 0.5000) x1
Pd (0.0000, 0.0000, 0.0000) x1
Pd (0.0000, 0.5000, 0.6685) x2
Pd (0.5000, 0.5000, 0.0000) x1


DFT (PBE-GGA) results for a relaxed structure of NpTcP2Pd.

volume	161.8	Å³/cell
mass density	10.33	g cm⁻³
DOS(E_F)	1.95	states/eV per atom

a b c (Å): 3.9741 3.9741 10.2424
angles (deg): 90.00 90.00 90.00
Space group I-4m2 (No. 119)
Symmetry-distinct sites (fractional):
Np (0.0000, 0.0000, 0.0000) x2
Tc (0.0000, 0.5000, 0.2500) x2
P (0.0000, 0.0000, 0.3854) x4
Pd (0.0000, 0.5000, 0.7500) x2


DFT (PBE-GGA) results for a relaxed structure of NpTe2P2Pd7.

raw formation energy	-0.33	eV per atom
volume	468.5	Å³/cell
mass density	9.21	g cm⁻³
DOS(E_F)	1.28	states/eV per atom

a b c (Å): 5.8787 6.8496 11.6689
angles (deg): 90.00 94.37 90.00
Space group C2/m (No. 12)
Symmetry-distinct sites (fractional):
Np (0.0000, 0.0000, 0.0000) x2
Te (0.1971, 0.0000, 0.3899) x4
P (0.2095, 0.5000, 0.1773) x4
Pd (0.0000, 0.5000, 0.0000) x2
Pd (0.1158, 0.2999, 0.7843) x8
Pd (0.2118, 0.5000, 0.3800) x4


DFT (PBE-GGA) results for a relaxed structure of PmNpP2.

volume	279.8	Å³/cell
mass density	7.90	g cm⁻³
DOS(E_F)	2.32	states/eV per atom

a b c (Å): 4.0346 4.0346 19.8491
angles (deg): 90.00 90.00 120.00
Space group R-3m (No. 166, hexagonal axes)
Symmetry-distinct sites (fractional):
Pm (0.0000, 0.0000, 0.0000) x3
Np (0.0000, 0.0000, 0.5000) x3
P (0.0000, 0.0000, 0.2448) x6


DFT (PBE-GGA) results for a relaxed structure of PmNpP2.

volume	284.8	Å³/cell
mass density	7.76	g cm⁻³
DOS(E_F)	1.75	states/eV per atom

a b c (Å): 3.9262 3.9262 21.3361
angles (deg): 90.00 90.00 120.00
Space group R3m (No. 160, hexagonal axes)
Symmetry-distinct sites (fractional):
Pm (0.0000, 0.0000, 0.0000) x3
Np (0.0000, 0.0000, 0.8282) x3
P (0.0000, 0.0000, 0.4155) x3
P (0.0000, 0.0000, 0.5778) x3


DFT (PBE-GGA) results for a relaxed structure of PmNp3P4.

volume	362.2	Å³/cell
mass density	8.99	g cm⁻³
DOS(E_F)	3.06	states/eV per atom

a b c (Å): 8.0125 11.3138 3.9951
angles (deg): 90.00 90.00 90.00
Space group Cmmm (No. 65)
Symmetry-distinct sites (fractional):
Pm (0.0000, 0.0000, 0.0000) x2
Np (0.0000, 0.5000, 0.0000) x2
Np (0.2500, 0.2500, 0.5000) x4
P (0.0000, 0.2548, 0.0000) x4
P (0.2396, 0.5000, 0.5000) x4


DFT (PBE-GGA) results for a relaxed structure of PmNpP2.

volume	83.2	Å³/cell
mass density	8.86	g cm⁻³
DOS(E_F)	1.80	states/eV per atom

a b c (Å): 3.4555 3.4555 6.9666
angles (deg): 90.00 90.00 90.00
Space group P4/mmm (No. 123)
Symmetry-distinct sites (fractional):
Pm (0.0000, 0.0000, 0.0000) x1
Np (0.0000, 0.0000, 0.5000) x1
P (0.5000, 0.5000, 0.2644) x2


DFT (PBE-GGA) results for a relaxed structure of PmNpP2.

volume	335.3	Å³/cell
mass density	8.79	g cm⁻³
DOS(E_F)	2.46	states/eV per atom

a b c (Å): 6.9474 6.9474 6.9474
angles (deg): 90.00 90.00 90.00
Space group Fm-3m (No. 225)
Symmetry-distinct sites (fractional):
Pm (0.0000, 0.0000, 0.0000) x4
Np (0.0000, 0.0000, 0.5000) x4
P (0.2500, 0.2500, 0.2500) x8


DFT (PBE-GGA) results for a relaxed structure of Pm4NpP5.

volume	484.5	Å³/cell
mass density	6.66	g cm⁻³
DOS(E_F)	1.10	states/eV per atom

a b c (Å): 9.1495 9.1495 5.7873
angles (deg): 90.00 90.00 90.00
Space group I4/m (No. 87)
Symmetry-distinct sites (fractional):
Pm (0.0981, 0.6995, 0.0000) x8
Np (0.0000, 0.0000, 0.5000) x2
P (0.0000, 0.0000, 0.0000) x2
P (0.0960, 0.7096, 0.5000) x8


DFT (PBE-GGA) results for a relaxed structure of Pm2NpP3.

volume	286.5	Å³/cell
mass density	7.19	g cm⁻³
DOS(E_F)	1.58	states/eV per atom

a b c (Å): 4.0761 4.0761 17.2433
angles (deg): 90.00 90.00 90.00
Space group I4/mmm (No. 139)
Symmetry-distinct sites (fractional):
Pm (0.0000, 0.0000, 0.1675) x4
Np (0.0000, 0.0000, 0.5000) x2
P (0.0000, 0.0000, 0.0000) x2
P (0.0000, 0.0000, 0.3376) x4


DFT (PBE-GGA) results for a relaxed structure of PmPr2NpP4.

volume	197.7	Å³/cell
mass density	6.61	g cm⁻³
DOS(E_F)	1.46	states/eV per atom

a b c (Å): 7.1325 4.1139 7.1401
angles (deg): 90.00 109.29 90.00
Space group P2/m (No. 10)
Symmetry-distinct sites (fractional):
Pm (0.0000, 0.0000, 0.0000) x1
Pr (0.0000, 0.5000, 0.5000) x1
Pr (0.5000, 0.0000, 0.5000) x1
Np (0.5000, 0.5000, 0.0000) x1
P (0.2552, 0.5000, 0.2390) x2
P (0.2620, 0.0000, 0.7649) x2


DFT (PBE-GGA) results for a relaxed structure of PmPuNp2P4.

volume	181.9	Å³/cell
mass density	9.01	g cm⁻³
DOS(E_F)	3.54	states/eV per atom

a b c (Å): 6.9203 3.9977 6.9688
angles (deg): 90.00 109.34 90.00
Space group P2/m (No. 10)
Symmetry-distinct sites (fractional):
Pm (0.0000, 0.0000, 0.0000) x1
Pu (0.5000, 0.5000, 0.0000) x1
Np (0.0000, 0.5000, 0.5000) x1
Np (0.5000, 0.0000, 0.5000) x1
P (0.2537, 0.0000, 0.7433) x2
P (0.2599, 0.5000, 0.2616) x2


DFT (PBE-GGA) results for a relaxed structure of Pm2NpP3Rh4.

volume	180.8	Å³/cell
mass density	9.48	g cm⁻³
DOS(E_F)	0.90	states/eV per atom

a b c (Å): 4.0463 4.0463 11.0406
angles (deg): 90.00 90.00 90.00
Space group P-4m2 (No. 115)
Symmetry-distinct sites (fractional):
Pm (0.0000, 0.5000, 0.2230) x2
Np (0.0000, 0.0000, 0.5000) x1
P (0.0000, 0.5000, 0.8739) x2
P (0.5000, 0.5000, 0.5000) x1
Rh (0.0000, 0.0000, 0.0000) x1
Rh (0.0000, 0.5000, 0.6610) x2
Rh (0.5000, 0.5000, 0.0000) x1


DFT (PBE-GGA) results for a relaxed structure of Pm2NpP3Rh12.

volume	997.0	Å³/cell
mass density	9.27	g cm⁻³
DOS(E_F)	0.75	states/eV per atom

a b c (Å): 8.1745 8.1745 17.2275
angles (deg): 90.00 90.00 120.00
Space group R-3m (No. 166, hexagonal axes)
Symmetry-distinct sites (fractional):
Pm (0.0000, 0.0000, 0.0990) x6
Np (0.0000, 0.0000, 0.5000) x3
P (0.0000, 0.5000, 0.0000) x9
Rh (0.0101, 0.5050, 0.8687) x18
Rh (0.0472, 0.5236, 0.3605) x18


DFT (PBE-GGA) results for a relaxed structure of Pm2NpScP4.

volume	179.8	Å³/cell
mass density	6.43	g cm⁻³
DOS(E_F)	1.25	states/eV per atom

a b c (Å): 6.8880 3.9932 6.9258
angles (deg): 90.00 109.28 90.00
Space group P2/m (No. 10)
Symmetry-distinct sites (fractional):
Pm (0.0000, 0.0000, 0.0000) x1
Pm (0.5000, 0.5000, 0.0000) x1
Np (0.0000, 0.5000, 0.5000) x1
Sc (0.5000, 0.0000, 0.5000) x1
P (0.2475, 0.0000, 0.7317) x2
P (0.2591, 0.5000, 0.2712) x2


DFT (PBE-GGA) results for a relaxed structure of PmNpPSe.

raw formation energy	-1.38	eV per atom
volume	293.5	Å³/cell
mass density	8.35	g cm⁻³
DOS(E_F)	2.44	states/eV per atom

a b c (Å): 4.0955 4.0955 20.2082
angles (deg): 90.00 90.00 120.00
Space group R3m (No. 160, hexagonal axes)
Symmetry-distinct sites (fractional):
Pm (0.0000, 0.0000, 0.0000) x3
Np (0.0000, 0.0000, 0.5103) x3
P (0.0000, 0.0000, 0.2516) x3
Se (0.0000, 0.0000, 0.7584) x3


DFT (PBE-GGA) results for a relaxed structure of PmSm2NpP4.

volume	190.9	Å³/cell
mass density	7.02	g cm⁻³
DOS(E_F)	1.38	states/eV per atom

a b c (Å): 7.0520 4.0668 7.0547
angles (deg): 90.00 109.32 90.00
Space group P2/m (No. 10)
Symmetry-distinct sites (fractional):
Pm (0.0000, 0.0000, 0.0000) x1
Sm (0.5000, 0.0000, 0.5000) x1
Sm (0.5000, 0.5000, 0.0000) x1
Np (0.0000, 0.5000, 0.5000) x1
P (0.2415, 0.0000, 0.7405) x2
P (0.2451, 0.5000, 0.2569) x2


DFT (PBE-GGA) results for a relaxed structure of Sr2PmNpP4.

volume	209.4	Å³/cell
mass density	5.40	g cm⁻³
DOS(E_F)	0.80	states/eV per atom

a b c (Å): 7.2054 4.1860 7.3418
angles (deg): 90.00 108.98 90.00
Space group P2/m (No. 10)
Symmetry-distinct sites (fractional):
Sr (0.0000, 0.0000, 0.0000) x1
Sr (0.5000, 0.5000, 0.0000) x1
Pm (0.0000, 0.5000, 0.5000) x1
Np (0.5000, 0.0000, 0.5000) x1
P (0.2580, 0.0000, 0.7183) x2
P (0.2757, 0.5000, 0.2876) x2


DFT (PBE-GGA) results for a relaxed structure of TbPm2NpP4.

volume	188.8	Å³/cell
mass density	7.12	g cm⁻³
DOS(E_F)	1.36	states/eV per atom

a b c (Å): 7.0210 4.0521 7.0330
angles (deg): 90.00 109.30 90.00
Space group P2/m (No. 10)
Symmetry-distinct sites (fractional):
Tb (0.0000, 0.0000, 0.0000) x1
Pm (0.0000, 0.5000, 0.5000) x1
Pm (0.5000, 0.0000, 0.5000) x1
Np (0.5000, 0.5000, 0.0000) x1
P (0.2519, 0.5000, 0.2395) x2
P (0.2580, 0.0000, 0.7624) x2


Taking the records one at a time from the top gives total energy values of -178.8 -49.0 -101.5 -44.6 -87.0 -61.5 -60.2 -84.4 -140.8 -100.0 -97.8 -146.9 -31.8 -126.6 -146.3 -93.1 -59.7 -75.2 -77.5 -397.7 -61.2 -96.3 -59.8 -51.5 -59.9 eV/cell.